Entry 1:
# Ac7Pm3Y (PBE, relaxed)
data_Ac7Pm3Y
_space_group_name_H-M_alt 'I m m m'
_space_group_IT_number 71
_space_group_name_Hall '-I 2 2'
_cell_length_a 6.441
_cell_length_b 11.672
_cell_length_c 12.482
_cell_angle_alpha 90.00
_cell_angle_beta 90.00
_cell_angle_gamma 90.00
loop_
_atom_site_label
_atom_site_type_symbol
_atom_site_fract_x
_atom_site_fract_y
_atom_site_fract_z
Ac1 Ac 0.000 0.000 0.000
Ac2 Ac 0.000 0.202 0.500
Ac3 Ac 0.000 0.314 0.211
Pm1 Pm 0.000 0.000 0.289
Pm2 Pm 0.000 0.500 0.000
Y1 Y 0.000 0.500 0.500
# * calculated total energy: -4.2392 eV/atom
# * energy of formation from the pure elements: 0.259 eV/atom

=====

Entry 2:
# AcPm6Y4 (PBE, relaxed)
data_AcPm6Y4
_space_group_name_H-M_alt 'I -4 2 m'
_space_group_IT_number 121
_space_group_name_Hall 'I -4 2'
_cell_length_a 7.808
_cell_length_b 7.808
_cell_length_c 13.347
_cell_angle_alpha 90.00
_cell_angle_beta 90.00
_cell_angle_gamma 90.00
loop_
_atom_site_label
_atom_site_type_symbol
_atom_site_fract_x
_atom_site_fract_y
_atom_site_fract_z
Ac1 Ac 0.000 0.000 0.000
Pm1 Pm 0.000 0.500 0.000
Pm2 Pm 0.244 0.244 0.190
Y1 Y 0.162 0.162 0.422
# * distance to the lowest polymorph of the same formula: 5.82 kcal/mol of atoms
# * calculated total energy: -4.9381 eV/atom
# * energy of formation from the pure elements: 0.377 eV/atom

=====

Entry 3:
# AcPmY4 (PBE, relaxed)
data_AcPmY4
_space_group_name_H-M_alt 'P -1'
_space_group_IT_number 2
_cell_length_a 3.674
_cell_length_b 6.308
_cell_length_c 9.641
_cell_angle_alpha 77.24
_cell_angle_beta 79.10
_cell_angle_gamma 73.18
loop_
_space_group_symop_operation_xyz
'x,y,z'
'-x,-y,-z'
loop_
_atom_site_label
_atom_site_type_symbol
_atom_site_fract_x
_atom_site_fract_y
_atom_site_fract_z
Ac1 Ac 0.000 0.000 0.000
Pm1 Pm 0.000 0.500 0.500
Y1 Y 0.331 0.999 0.339
Y2 Y 0.332 0.506 0.828
# * distance to the lowest polymorph of the same formula: 0.30 kcal/mol of atoms
# * calculated total energy: -5.7492 eV/atom
# * energy of formation from the pure elements: 0.037 eV/atom

=====

Entry 4:
# AcPmY2 (PBE, relaxed)
data_AcPmY2
_space_group_name_H-M_alt 'P 4/m m m'
_space_group_IT_number 123
_space_group_name_Hall '-P 4 2'
_cell_length_a 5.276
_cell_length_b 5.276
_cell_length_c 5.117
_cell_angle_alpha 90.00
_cell_angle_beta 90.00
_cell_angle_gamma 90.00
loop_
_atom_site_label
_atom_site_type_symbol
_atom_site_fract_x
_atom_site_fract_y
_atom_site_fract_z
Ac1 Ac 0.000 0.000 0.000
Pm1 Pm 0.500 0.500 0.000
Y1 Y 0.000 0.500 0.500
# * distance to the lowest polymorph of the same formula: 0.15 kcal/mol of atoms
# * calculated total energy: -5.4037 eV/atom
# * energy of formation from the pure elements: 0.043 eV/atom

=====

Entry 5:
# Ac2Pm3Y4 (PBE, relaxed)
data_Ac2Pm3Y4
_space_group_name_H-M_alt 'C 1 2/m 1'
_space_group_IT_number 12
_cell_length_a 16.801
_cell_length_b 6.072
_cell_length_c 6.539
_cell_angle_alpha 90.00
_cell_angle_beta 105.99
_cell_angle_gamma 90.00
loop_
_space_group_symop_operation_xyz
'x,y,z'
'-x,-y,-z'
'-x,y,-z'
'x,-y,z'
'x+1/2,y+1/2,z'
'-x+1/2,-y+1/2,-z'
'-x+1/2,y+1/2,-z'
'x+1/2,-y+1/2,z'
loop_
_atom_site_label
_atom_site_type_symbol
_atom_site_fract_x
_atom_site_fract_y
_atom_site_fract_z
Ac1 Ac 0.169 0.000 0.346
Pm1 Pm 0.000 0.500 0.000
Pm2 Pm 0.102 0.500 0.560
Y1 Y 0.059 0.000 0.778
Y2 Y 0.218 0.500 0.079
# * distance to the lowest polymorph of the same formula: 0.70 kcal/mol of atoms
# * calculated total energy: -5.2609 eV/atom
# * energy of formation from the pure elements: 0.109 eV/atom

=====

Entry 6:
# Ac6Pm5Y (PBE, relaxed)
data_Ac6Pm5Y
_space_group_name_H-M_alt 'I m m m'
_space_group_IT_number 71
_space_group_name_Hall '-I 2 2'
_cell_length_a 5.488
_cell_length_b 10.452
_cell_length_c 16.385
_cell_angle_alpha 90.00
_cell_angle_beta 90.00
_cell_angle_gamma 90.00
loop_
_atom_site_label
_atom_site_type_symbol
_atom_site_fract_x
_atom_site_fract_y
_atom_site_fract_z
Ac1 Ac 0.000 0.249 0.000
Ac2 Ac 0.000 0.251 0.334
Pm1 Pm 0.000 0.000 0.167
Pm2 Pm 0.000 0.000 0.500
Pm3 Pm 0.000 0.500 0.167
Y1 Y 0.000 0.500 0.500
# * calculated total energy: -4.5414 eV/atom
# * energy of formation from the pure elements: 0.031 eV/atom

=====

Entry 7:
# Ac2Pm4Y5 (PBE, relaxed)
data_Ac2Pm4Y5
_space_group_name_H-M_alt 'C 1 2/m 1'
_space_group_IT_number 12
_cell_length_a 24.685
_cell_length_b 3.688
_cell_length_c 9.402
_cell_angle_alpha 90.00
_cell_angle_beta 111.81
_cell_angle_gamma 90.00
loop_
_space_group_symop_operation_xyz
'x,y,z'
'-x,-y,-z'
'-x,y,-z'
'x,-y,z'
'x+1/2,y+1/2,z'
'-x+1/2,-y+1/2,-z'
'-x+1/2,y+1/2,-z'
'x+1/2,-y+1/2,z'
loop_
_atom_site_label
_atom_site_type_symbol
_atom_site_fract_x
_atom_site_fract_y
_atom_site_fract_z
Ac1 Ac 0.112 0.000 0.424
Pm1 Pm 0.044 0.000 0.713
Pm2 Pm 0.184 0.500 0.836
Y1 Y 0.000 0.500 0.000
Y2 Y 0.131 0.000 0.072
Y3 Y 0.233 0.500 0.337
# * distance to the lowest polymorph of the same formula: 0.00 kcal/mol of atoms
# * calculated total energy: -5.2800 eV/atom
# * energy of formation from the pure elements: 0.133 eV/atom

=====

Entry 8:
# AcPm2Y (PBE, relaxed)
data_AcPm2Y
_space_group_name_H-M_alt 'R -3 m'
_space_group_IT_number 166
_space_group_name_Hall '-R 3 2"'
_cell_length_a 3.7347
_cell_length_b 3.7347
_cell_length_c 36.1649
_cell_angle_alpha 90.00
_cell_angle_beta 90.00
_cell_angle_gamma 120.00
loop_
_atom_site_label
_atom_site_type_symbol
_atom_site_fract_x
_atom_site_fract_y
_atom_site_fract_z
Ac1 Ac 0.0000 0.0000 0.0000
Pm1 Pm 0.0000 0.0000 0.2468
Y1 Y 0.0000 0.0000 0.5000
# * distance to the lowest polymorph of the same formula: 0.25 kcal/mol of atoms
# * calculated total energy: -4.9741 eV/atom
# * energy of formation from the pure elements: 0.044 eV/atom

=====

Entry 9:
# Ac2PmY4 (PBE, relaxed)
data_Ac2PmY4
_space_group_name_H-M_alt 'P 1'
_space_group_IT_number 1
_cell_length_a 7.367
_cell_length_b 8.878
_cell_length_c 9.176
_cell_angle_alpha 114.06
_cell_angle_beta 101.85
_cell_angle_gamma 102.07
loop_
_space_group_symop_operation_xyz
'x,y,z'
loop_
_atom_site_label
_atom_site_type_symbol
_atom_site_fract_x
_atom_site_fract_y
_atom_site_fract_z
Ac1 Ac 0.000 0.000 0.000
Ac2 Ac 0.087 0.529 0.843
Ac3 Ac 0.590 0.531 0.836
Ac4 Ac 0.782 0.867 0.295
Pm1 Pm 0.310 0.692 0.563
Pm2 Pm 0.663 0.266 0.421
Y1 Y 0.172 0.276 0.433
Y2 Y 0.199 0.091 0.702
Y3 Y 0.288 0.872 0.299
Y4 Y 0.393 0.425 0.170
Y5 Y 0.491 0.993 0.995
Y6 Y 0.691 0.093 0.703
Y7 Y 0.810 0.688 0.566
Y8 Y 0.891 0.424 0.171
# * distance to the lowest polymorph of the same formula: 0.00 kcal/mol of atoms
# * calculated total energy: -5.4953 eV/atom
# * energy of formation from the pure elements: 0.051 eV/atom

=====

Entry 10:
# Ac2Pm3Y5 (PBE, relaxed)
data_Ac2Pm3Y5
_space_group_name_H-M_alt 'C 1 2/c 1'
_space_group_IT_number 15
_cell_length_a 10.174
_cell_length_b 15.106
_cell_length_c 10.160
_cell_angle_alpha 90.00
_cell_angle_beta 109.54
_cell_angle_gamma 90.00
loop_
_space_group_symop_operation_xyz
'x,y,z'
'-x,-y,-z'
'-x,y,-z+1/2'
'x,-y,z+1/2'
'x+1/2,y+1/2,z'
'-x+1/2,-y+1/2,-z'
'-x+1/2,y+1/2,-z+1/2'
'x+1/2,-y+1/2,z+1/2'
loop_
_atom_site_label
_atom_site_type_symbol
_atom_site_fract_x
_atom_site_fract_y
_atom_site_fract_z
Ac1 Ac 0.248 0.107 0.498
Pm1 Pm 0.000 0.251 0.750
Pm2 Pm 0.156 0.377 0.094
Y1 Y 0.000 0.031 0.750
Y2 Y 0.000 0.251 0.250
Y3 Y 0.000 0.470 0.750
Y4 Y 0.155 0.122 0.094
# * calculated total energy: -5.2859 eV/atom
# * energy of formation from the pure elements: 0.193 eV/atom

=====

Entry 11:
# Ac6Pm2Y (PBE, relaxed)
data_Ac6Pm2Y
_space_group_name_H-M_alt 'C 1 2/m 1'
_space_group_IT_number 12
_cell_length_a 12.452
_cell_length_b 9.403
_cell_length_c 6.724
_cell_angle_alpha 90.00
_cell_angle_beta 101.99
_cell_angle_gamma 90.00
loop_
_space_group_symop_operation_xyz
'x,y,z'
'-x,-y,-z'
'-x,y,-z'
'x,-y,z'
'x+1/2,y+1/2,z'
'-x+1/2,-y+1/2,-z'
'-x+1/2,y+1/2,-z'
'x+1/2,-y+1/2,z'
loop_
_atom_site_label
_atom_site_type_symbol
_atom_site_fract_x
_atom_site_fract_y
_atom_site_fract_z
Ac1 Ac 0.096 0.198 0.294
Ac2 Ac 0.195 0.000 0.826
Pm1 Pm 0.139 0.500 0.627
Y1 Y 0.000 0.500 0.000
# * calculated total energy: -4.3380 eV/atom
# * energy of formation from the pure elements: 0.175 eV/atom

=====

Entry 12:
# AcPm12Y3 (PBE, relaxed)
data_AcPm12Y3
_space_group_name_H-M_alt 'P 4/m m m'
_space_group_IT_number 123
_space_group_name_Hall '-P 4 2'
_cell_length_a 5.173
_cell_length_b 5.173
_cell_length_c 20.675
_cell_angle_alpha 90.00
_cell_angle_beta 90.00
_cell_angle_gamma 90.00
loop_
_atom_site_label
_atom_site_type_symbol
_atom_site_fract_x
_atom_site_fract_y
_atom_site_fract_z
Ac1 Ac 0.000 0.000 0.000
Pm1 Pm 0.000 0.500 0.130
Pm2 Pm 0.000 0.500 0.377
Pm3 Pm 0.500 0.500 0.000
Pm4 Pm 0.500 0.500 0.255
Pm5 Pm 0.500 0.500 0.500
Y1 Y 0.000 0.000 0.253
Y2 Y 0.000 0.000 0.500
# * calculated total energy: -5.0107 eV/atom
# * energy of formation from the pure elements: 0.021 eV/atom